The following is a GGA+U calculation of a relaxed structure of ReMo3F, from Alexandria.

## Properties
Space-group type: Pm-3m, No. 221
VASP energy (eV per atom): -5.525
E above lowest polymorph (meV/atom): 294
Total magnetic moment (μB per cell): 9.90

Unit cell a=5.090 b=5.090 c=5.090 alpha=90.00 beta=90.00 gamma=90.00
Site moments in Bohr magnetons follow the coordinates.
Atoms (fractional coordinates):
Re  0.000  0.000  0.000  -1.47
Mo  0.000  0.500  0.000  3.27
Mo  0.000  0.000  0.500  3.03
Mo  0.500  0.000  0.000  3.59
F  0.500  0.500  0.500  0.12